! SCAN Li2MgPt, single point on PBEsol structure; values from VASP
&SYSTEM
  ibrav = 0, nat = 4, ntyp = 3
/
ATOMIC_SPECIES
Li 6.94 Li.upf
Mg 24.30 Mg.upf
Pt 195.08 Pt.upf
CELL_PARAMETERS angstrom
4.799 -1.474 0.000
4.799 1.474 0.000
-1.294 0.000 4.349
ATOMIC_POSITIONS crystal
Li 0.230 0.230 0.216
Li 0.770 0.770 0.784
Mg 0.000 0.000 0.500
Pt 0.500 0.500 0.000
! magnetization = 0.000 μB/atom
! SG = C2/m, No. 12
! density of states at the Fermi level = 0.25 states/eV per atom
! ΔE_f = -0.585 eV/atom

***

! SCAN LiMgPt2, single point on PBEsol structure; values from VASP
&SYSTEM
  ibrav = 0, nat = 4, ntyp = 3
/
ATOMIC_SPECIES
Li 6.94 Li.upf
Mg 24.30 Mg.upf
Pt 195.08 Pt.upf
CELL_PARAMETERS angstrom
1.413 0.816 8.484
-1.413 0.816 8.484
0.000 -1.632 8.484
ATOMIC_POSITIONS crystal
Li 0.000 0.000 0.000
Mg 0.500 0.500 0.500
Pt 0.251 0.251 0.251
Pt 0.749 0.749 0.749
! magnetization = 0.000 μB/atom
! SG = R-3m, No. 166
! density of states at the Fermi level = 0.47 states/eV per atom
! ΔE_f = -0.631 eV/atom

***

! SCAN LiMgPt4, single point on PBEsol structure; values from VASP
&SYSTEM
  ibrav = 0, nat = 6, ntyp = 3
/
ATOMIC_SPECIES
Li 6.94 Li.upf
Mg 24.30 Mg.upf
Pt 195.08 Pt.upf
CELL_PARAMETERS angstrom
0.000 3.688 3.688
3.688 0.000 3.688
3.688 3.688 0.000
ATOMIC_POSITIONS crystal
Li 0.000 0.000 0.000
Mg 0.750 0.750 0.750
Pt 0.375 0.375 0.375
Pt 0.375 0.375 0.875
Pt 0.375 0.875 0.375
Pt 0.875 0.375 0.375
! magnetization = 0.000 μB/atom
! SG = F-43m, No. 216
! density of states at the Fermi level = 0.39 states/eV per atom
! ΔE_f = -0.623 eV/atom

***

Number 1: total DFT energy (no corrections) -20.571 eV per atom. Number 2: total DFT energy (no corrections) -37.568 eV per atom. Number 3: total DFT energy (no corrections) -48.646 eV per atom.